Entry 1:
VASP calculation (PBE) on crystalline KNaInF5 at its relaxed geometry.

a b c (Å): 6.324 6.324 8.054
angles (deg): 99.89 99.89 112.75
Fractional positions:
F1 0.280 0.916 0.591
F2 0.647 0.750 0.944
F3 0.250 0.353 0.556
F4 0.353 0.250 0.056
F5 0.916 0.280 0.091
F6 0.750 0.647 0.444
F7 0.072 0.928 0.250
F8 0.084 0.720 0.909
F9 0.928 0.072 0.750
F10 0.720 0.084 0.409
K1 0.337 0.663 0.250
K2 0.663 0.337 0.750
In1 0.000 0.000 0.000
In2 0.000 0.000 0.500
Na1 0.679 0.321 0.250
Na2 0.321 0.679 0.750

Values from the calculation:
Energy relative to the elements, uncorrected ... -2.69 eV per atom

***

Entry 2:
VASP calculation (PBE) on crystalline Ho4Tm5Sc2 at its relaxed geometry.

a b c (Å): 5.370 6.649 9.541
angles (deg): 86.58 106.35 90.00
Fractional positions:
Ho1 0.940 0.702 0.880
Ho2 0.318 0.874 0.637
Ho3 0.682 0.126 0.363
Ho4 0.060 0.298 0.120
Tm1 0.130 0.796 0.259
Tm2 0.870 0.204 0.741
Tm3 0.500 0.000 0.000
Tm4 0.252 0.367 0.503
Tm5 0.748 0.633 0.497
Sc1 0.576 0.557 0.152
Sc2 0.424 0.443 0.848

Values from the calculation:
Energy above the lowest structure with this stoichiometry ... 0.000 eV/f.u.
ΔH_f (0 K) ... 0.081 eV/atom

***

Entry 3:
VASP calculation (PBE) on crystalline SmGa4Ir2Pt at its relaxed geometry.

a b c (Å): 4.291 4.291 9.051
angles (deg): 76.29 76.29 60.00
Fractional positions:
Pt1 0.500 0.500 0.500
Ir1 0.767 0.767 0.699
Ir2 0.233 0.233 0.301
Ga1 0.129 0.129 0.614
Ga2 0.602 0.602 0.195
Ga3 0.871 0.871 0.386
Ga4 0.398 0.398 0.805
Sm1 0.000 0.000 0.000

Values from the calculation:
ΔH_f (0 K) ... -0.561 eV/atom

***

Repeat the first record exactly.
VASP calculation (PBE) on crystalline KNaInF5 at its relaxed geometry.

a b c (Å): 6.324 6.324 8.054
angles (deg): 99.89 99.89 112.75
Fractional positions:
F1 0.280 0.916 0.591
F2 0.647 0.750 0.944
F3 0.250 0.353 0.556
F4 0.353 0.250 0.056
F5 0.916 0.280 0.091
F6 0.750 0.647 0.444
F7 0.072 0.928 0.250
F8 0.084 0.720 0.909
F9 0.928 0.072 0.750
F10 0.720 0.084 0.409
K1 0.337 0.663 0.250
K2 0.663 0.337 0.750
In1 0.000 0.000 0.000
In2 0.000 0.000 0.500
Na1 0.679 0.321 0.250
Na2 0.321 0.679 0.750

Values from the calculation:
Energy relative to the elements, uncorrected ... -2.69 eV per atom